DFT (GGA-PBE) results for TlCo2Au after structural relaxation.

Lattice parameters (Å, degrees): 8.620 8.620 8.620 19.97 19.97 19.97
Positions (direct):
Tl (0.000, 0.000, 0.000)
Co (0.247, 0.247, 0.247)
Co (0.753, 0.753, 0.753)
Au (0.500, 0.500, 0.500)

Computed properties:
DOS at the Fermi energy (states/eV/cell): 6.09
Energy of formation from the pure elements (eV per formula unit): 2.45
Electronic total energy (eV/atom): -4.35

---

DFT (GGA-PBE) results for SmGdLu2 after structural relaxation.

Lattice parameters (Å, degrees): 3.554 3.554 9.836 90.00 90.00 90.00
Positions (direct):
Sm (0.000, 0.000, 0.000)
Gd (0.000, 0.000, 0.500)
Lu (0.500, 0.500, 0.251)
Lu (0.500, 0.500, 0.749)

Computed properties:
DOS at the Fermi energy (states/eV/cell): 6.98
Distance to the lowest polymorph of the same formula (eV per atom): 0.0000
Energy of formation from the pure elements (eV per formula unit): 0.14
Electronic total energy (eV/atom): -6.93

---

DFT (GGA-PBE) results for NiOs2Se after structural relaxation.

Lattice parameters (Å, degrees): 2.697 2.697 9.341 90.00 90.00 119.12
Positions (direct):
Ni (0.000, 0.000, 0.000)
Os (0.500, 0.500, 0.228)
Os (0.500, 0.500, 0.772)
Se (0.000, 0.000, 0.500)

Computed properties:
DOS at the Fermi energy (states/eV/cell): 5.43
Electronic total energy (eV/atom): -7.12

---

DFT (GGA-PBE) results for BiSb2As after structural relaxation.

Lattice parameters (Å, degrees): 5.311 5.311 5.311 60.00 60.00 60.00
Positions (direct):
Bi (0.000, 0.000, 0.000)
Sb (0.250, 0.250, 0.250)
Sb (0.750, 0.750, 0.750)
As (0.500, 0.500, 0.500)

Computed properties:
DOS at the Fermi energy (states/eV/cell): 2.64
Distance to the lowest polymorph of the same formula (eV per atom): 0.2536
Electronic total energy (eV/atom): -3.89

---

DFT (GGA-PBE) results for Na2Ca3F8 after structural relaxation.

Lattice parameters (Å, degrees): 6.600 3.716 9.617 90.00 100.31 90.00
Positions (direct):
Na (0.138, 0.000, 0.355)
Na (0.862, 0.000, 0.645)
Ca (0.402, 0.500, 0.670)
Ca (0.500, 0.000, 0.000)
Ca (0.598, 0.500, 0.330)
F (0.193, 0.000, 0.631)
F (0.304, 0.500, 0.426)
F (0.324, 0.500, 0.897)
F (0.401, 0.000, 0.215)
F (0.599, 0.000, 0.785)
F (0.676, 0.500, 0.103)
F (0.696, 0.500, 0.574)
F (0.807, 0.000, 0.369)

Computed properties:
DOS at the Fermi energy (states/eV/cell): 0.00
Electronic total energy (eV/atom): -5.33

---

DFT (GGA-PBE) results for Pm8Sn3O2 after structural relaxation.

Lattice parameters (Å, degrees): 9.884 9.884 9.884 41.42 41.42 41.42
Positions (direct):
Pm (0.181, 0.181, 0.181)
Pm (0.229, 0.229, 0.725)
Pm (0.229, 0.725, 0.229)
Pm (0.275, 0.771, 0.771)
Pm (0.725, 0.229, 0.229)
Pm (0.771, 0.275, 0.771)
Pm (0.771, 0.771, 0.275)
Pm (0.819, 0.819, 0.819)
Sn (0.297, 0.297, 0.297)
Sn (0.500, 0.500, 0.500)
Sn (0.703, 0.703, 0.703)
O (0.100, 0.100, 0.100)
O (0.900, 0.900, 0.900)

Computed properties:
DOS at the Fermi energy (states/eV/cell): 15.38
Electronic total energy (eV/atom): -5.74

---

DFT (GGA-PBE) results for Nd3PbSe3 after structural relaxation.

Lattice parameters (Å, degrees): 8.628 5.884 8.629 90.00 94.70 90.00
Positions (direct):
Nd (0.116, 0.250, 0.139)
Nd (0.139, 0.250, 0.639)
Nd (0.360, 0.750, 0.384)
Nd (0.640, 0.250, 0.616)
Nd (0.861, 0.750, 0.361)
Nd (0.884, 0.750, 0.861)
Pb (0.428, 0.250, 0.927)
Pb (0.572, 0.750, 0.073)
Se (0.108, 0.750, 0.135)
Se (0.124, 0.750, 0.625)
Se (0.365, 0.250, 0.392)
Se (0.635, 0.750, 0.608)
Se (0.876, 0.250, 0.375)
Se (0.892, 0.250, 0.865)

Computed properties:
DOS at the Fermi energy (states/eV/cell): 5.51
Electronic total energy (eV/atom): -5.51

---

DFT (GGA-PBE) results for Th4ZnIn3 after structural relaxation.

Lattice parameters (Å, degrees): 3.320 5.844 11.623 90.00 90.00 90.00
Positions (direct):
Th (0.000, 0.000, 0.000)
Th (0.000, 0.000, 0.500)
Th (0.000, 0.500, 0.240)
Th (0.000, 0.500, 0.760)
Zn (0.500, 0.500, 0.000)
In (0.500, 0.000, 0.249)
In (0.500, 0.000, 0.751)
In (0.500, 0.500, 0.500)

Computed properties:
DOS at the Fermi energy (states/eV/cell): 8.09
Energy of formation from the pure elements (eV per formula unit): -1.47
Electronic total energy (eV/atom): -5.08

---

Repeat the eighth record exactly.
DFT (GGA-PBE) results for Th4ZnIn3 after structural relaxation.

Lattice parameters (Å, degrees): 3.320 5.844 11.623 90.00 90.00 90.00
Positions (direct):
Th (0.000, 0.000, 0.000)
Th (0.000, 0.000, 0.500)
Th (0.000, 0.500, 0.240)
Th (0.000, 0.500, 0.760)
Zn (0.500, 0.500, 0.000)
In (0.500, 0.000, 0.249)
In (0.500, 0.000, 0.751)
In (0.500, 0.500, 0.500)

Computed properties:
DOS at the Fermi energy (states/eV/cell): 8.09
Energy of formation from the pure elements (eV per formula unit): -1.47
Electronic total energy (eV/atom): -5.08